No. 1
This record from Alexandria describes a relaxed structure of CePuSc2Te4. The functional is GGA-PBE.

Results
The energy comes out at -54.89 eV for the cell shown. As for the uncorrected formation energy: -1.175 eV per atom.

Unit cell a=4.2692 b=7.3966 c=7.5916 alpha=108.93 beta=90.00 gamma=90.00
With the nearest neighbours (Å) after each atom.
Atoms (fractional coordinates):
Sc (0.5000, 0.0000, 0.5000)  6 Te 2.97
Te (0.5000, 0.7398, 0.7267)  3 Sc 2.95-2.97, 1 Pu 3.14, 2 Ce 3.16
Pu (0.5000, 0.5000, 0.0000)  6 Te 3.13-3.14
Te (0.0000, 0.2454, 0.7289)  3 Sc 2.95-2.97, 2 Pu 3.13, 1 Ce 3.15
Sc (0.0000, 0.5000, 0.5000)  6 Te 2.95
Te (0.5000, 0.2602, 0.2733)  3 Sc 2.95-2.97, 1 Pu 3.14, 2 Ce 3.16
Te (0.0000, 0.7546, 0.2711)  3 Sc 2.95-2.97, 2 Pu 3.13, 1 Ce 3.15
Ce (0.0000, 0.0000, 0.0000)  6 Te 3.15-3.16

No. 2
This record from Alexandria describes a relaxed structure of YTaOs2. The functional is GGA-PBE.

Results
The energy comes out at -39.85 eV for the cell shown.

Unit cell a=5.2698 b=5.2698 c=2.9155 alpha=78.50 beta=78.50 gamma=110.79
With the nearest neighbours (Å) after each atom.
Atoms (fractional coordinates):
Os (0.5000, 0.5000, 0.0000)  2 Y 2.75, 2 Ta 2.75, 4 Os 2.92-2.99
Ta (0.5000, 0.0000, 0.5000)  4 Os 2.75, 2 Ta 2.92, 2 Y 2.99
Y (0.0000, 0.5000, 0.5000)  4 Os 2.75, 2 Y 2.92, 2 Ta 2.99
Os (0.0000, 0.0000, 0.0000)  2 Ta 2.75, 2 Y 2.75, 4 Os 2.92-2.99

No. 3
This record from Alexandria describes a relaxed structure of BaSrHg4. The functional is GGA-PBE.

Results
The energy comes out at -6.99 eV for the cell shown. The energy above the most stable polymorph in this dataset comes out at 94 meV per atom.

Unit cell a=6.3595 b=6.3595 c=6.3595 alpha=60.00 beta=60.00 gamma=60.00
With the nearest neighbours (Å) after each atom.
Atoms (fractional coordinates):
Hg (0.3751, 0.3751, 0.8746)  6 Hg 3.18
Sr (0.7500, 0.7500, 0.7500)  12 Hg 3.73, 4 Ba 3.89
Hg (0.3751, 0.8746, 0.3751)  6 Hg 3.18
Hg (0.3751, 0.3751, 0.3751)  6 Hg 3.18
Hg (0.8746, 0.3751, 0.3751)  6 Hg 3.18
Ba (0.0000, 0.0000, 0.0000)  12 Hg 3.73, 4 Sr 3.89